# ZnSbIr, optimized geometry, DFT PBE-GGA
# calculated density: 11.5 Mg/m³
# V: 18.2 A^3/atom
# energy: -4.57 eV/atom
# spin magnetization: 0.00 μB/f.u.
# symmetry: P-6m2 (187)
data_ZnSbIr
_chemical_formula_sum 'Zn1 Sb1 Ir1'
_cell_length_a 4.412
_cell_length_b 4.412
_cell_length_c 3.248
_cell_angle_alpha 90.00
_cell_angle_beta 90.00
_cell_angle_gamma 120.00
_space_group_name_H-M_alt 'P 1'
_space_group_IT_number 1
loop_
_space_group_symop_operation_xyz
'x,y,z'
loop_
_atom_site_label
_atom_site_type_symbol
_atom_site_fract_x
_atom_site_fract_y
_atom_site_fract_z
Zn1 Zn 0.000 0.000 0.000
Sb1 Sb 0.333 0.667 0.500
Ir1 Ir 0.667 0.333 0.000

# ZnSb2Ir2, optimized geometry, DFT PBE-GGA
# calculated density: 12.1 Mg/m³
# V: 19.0 A^3/atom
# energy: -5.33 eV/atom
# spin magnetization: 0.00 μB/f.u.
# symmetry: P4/mbm (127)
data_ZnSb2Ir2
_chemical_formula_sum 'Zn2 Sb4 Ir4'
_cell_length_a 7.078
_cell_length_b 7.078
_cell_length_c 3.794
_cell_angle_alpha 90.00
_cell_angle_beta 90.00
_cell_angle_gamma 90.00
_space_group_name_H-M_alt 'P 1'
_space_group_IT_number 1
loop_
_space_group_symop_operation_xyz
'x,y,z'
loop_
_atom_site_label
_atom_site_type_symbol
_atom_site_fract_x
_atom_site_fract_y
_atom_site_fract_z
Zn1 Zn 0.000 0.000 0.000
Zn2 Zn 0.500 0.500 0.000
Sb1 Sb 0.162 0.338 0.500
Sb2 Sb 0.338 0.838 0.500
Sb3 Sb 0.662 0.162 0.500
Sb4 Sb 0.838 0.662 0.500
Ir1 Ir 0.144 0.644 0.000
Ir2 Ir 0.356 0.144 0.000
Ir3 Ir 0.644 0.856 0.000
Ir4 Ir 0.856 0.356 0.000

# ZnSbIr, optimized geometry, DFT PBE-GGA
# calculated density: 10.5 Mg/m³
# V: 19.9 A^3/atom
# energy: -4.88 eV/atom
# spin magnetization: 0.00 μB/f.u.
# symmetry: R-3m (166)
data_ZnSbIr
_chemical_formula_sum 'Zn2 Sb2 Ir2'
_cell_length_a 7.457
_cell_length_b 7.457
_cell_length_c 7.457
_cell_angle_alpha 34.63
_cell_angle_beta 34.63
_cell_angle_gamma 34.63
_space_group_name_H-M_alt 'P 1'
_space_group_IT_number 1
loop_
_space_group_symop_operation_xyz
'x,y,z'
loop_
_atom_site_label
_atom_site_type_symbol
_atom_site_fract_x
_atom_site_fract_y
_atom_site_fract_z
Zn1 Zn 0.131 0.131 0.131
Zn2 Zn 0.869 0.869 0.869
Sb1 Sb 0.385 0.385 0.385
Sb2 Sb 0.615 0.615 0.615
Ir1 Ir 0.254 0.254 0.254
Ir2 Ir 0.746 0.746 0.746

# ZnSb4Ir, optimized geometry, DFT PBE-GGA
# calculated density: 8.0 Mg/m³
# V: 25.9 A^3/atom
# energy: -3.47 eV/atom
# spin magnetization: 0.00 μB/f.u.
# symmetry: F-43m (216)
data_ZnSb4Ir
_chemical_formula_sum 'Zn1 Sb4 Ir1'
_cell_length_a 6.033
_cell_length_b 6.033
_cell_length_c 6.033
_cell_angle_alpha 60.00
_cell_angle_beta 60.00
_cell_angle_gamma 60.00
_space_group_name_H-M_alt 'P 1'
_space_group_IT_number 1
loop_
_space_group_symop_operation_xyz
'x,y,z'
loop_
_atom_site_label
_atom_site_type_symbol
_atom_site_fract_x
_atom_site_fract_y
_atom_site_fract_z
Zn1 Zn 0.000 0.000 0.000
Sb1 Sb 0.374 0.374 0.374
Sb2 Sb 0.374 0.374 0.877
Sb3 Sb 0.374 0.877 0.374
Sb4 Sb 0.877 0.374 0.374
Ir1 Ir 0.750 0.750 0.750